This record from Alexandria via LeMat-Bulk describes a relaxed NaGe2Rh2 crystal. The functional is PBE.

a b c (Å): 7.4741 7.4741 2.8467
angles (deg): 90.00 90.00 90.00
Space group P4/mbm (No. 127)
Symmetry-distinct sites (fractional):
Na 0.0000 0.0000 0.0000 [2 per cell]
Ge 0.1479 0.3521 0.0000 [4 per cell]
Rh 0.1454 0.6454 0.5000 [4 per cell]

Calculated values
**Crystal system**: tetragonal
**Total DFT energy (no corrections)**: -5.446 eV per atom
**Magnetic moment**: 0.00 μB per formula unit
**ΔH_f (0 K)**: -190.4 kJ/mol of formula units